4
Lattice="0.166 -3.474 -1.873 -1.926 -0.498 -3.412 2.020 -0.328 -3.378" Properties=species:S:1:pos:R:3 comment="AlB2S, optimized geometry, DFT PBE" dos_at_fermi_per_ev_cell=1.84 e_above_lowest_polymorph_ev_per_atom=1.058 m_tot_mub_per_fu=0.000 formation_energy_uncorrected_ev_per_atom=1.46 total_energy_ry_per_atom=-0.2826 crystal_system=cubic pbc="T T T"
S 0.130 -2.150 -4.332
B 0.065 -1.075 -2.166
B 0.194 -3.224 -6.497
Al 0.000 0.000 0.000

20
Lattice="-0.929 -1.684 -1.976 8.106 -2.672 -1.531 -0.979 -6.325 5.850" Properties=species:S:1:pos:R:3 comment="Be2V2Co5Si, optimized geometry, DFT PBE" dos_at_fermi_per_ev_cell=16.24 m_tot_mub_per_fu=1.507 formation_energy_uncorrected_ev_per_atom=-0.29 total_energy_ry_per_atom=-0.5110 crystal_system=tetragonal pbc="T T T"
Be 0.399 -4.284 3.464
Be 6.727 -4.712 0.855
Be 4.207 -7.205 4.164
Be 2.920 -1.791 0.155
V 5.299 -2.909 -0.010
V 1.827 -6.087 4.329
V 1.099 -2.523 1.634
V 6.027 -6.473 2.685
Co 1.135 -1.789 -0.932
Co 5.063 -8.892 3.275
Co -0.731 -6.040 3.567
Co 4.822 -5.488 0.488
Co 6.929 -4.641 -1.224
Co 1.376 -5.193 1.855
Co 3.411 -6.805 2.273
Co 2.787 -3.876 0.069
Co 3.589 -2.178 -1.754
Co -0.954 -4.005 1.937
Si 0.000 0.000 0.000
Si 3.563 -4.498 2.159

8
Lattice="6.054 0.000 0.000 0.000 6.054 0.000 0.000 0.000 6.054" Properties=species:S:1:pos:R:3 comment="SnTe4Au3, optimized geometry, DFT PBE" dos_at_fermi_per_ev_cell=3.08 e_above_lowest_polymorph_ev_per_atom=0.026 m_tot_mub_per_fu=0.000 formation_energy_uncorrected_ev_per_atom=-0.05 total_energy_ry_per_atom=-0.2460 crystal_system=cubic pbc="T T T"
Sn 0.000 0.000 0.000
Te 1.809 1.809 1.809
Te 4.244 4.244 1.809
Te 1.809 4.244 4.244
Te 4.244 1.809 4.244
Au 0.000 3.027 0.000
Au 0.000 0.000 3.027
Au 3.027 0.000 0.000